# PBE-GGA BaTl2Mo, optimized geometry
data_BaTl2Mo
_chemical_formula_sum 'Ba1 Tl2 Mo1'
_symmetry_space_group_name_H-M 'P 1'
_symmetry_Int_Tables_number 1
_cell_length_a 3.653
_cell_length_b 3.653
_cell_length_c 8.203
_cell_angle_alpha 90.00
_cell_angle_beta 90.00
_cell_angle_gamma 90.00
loop_
_symmetry_equiv_pos_as_xyz
'x,y,z'
loop_
_atom_site_label
_atom_site_type_symbol
_atom_site_fract_x
_atom_site_fract_y
_atom_site_fract_z
Ba1 Ba 0.000 0.000 0.000
Tl1 Tl 0.500 0.500 0.306
Tl2 Tl 0.500 0.500 0.694
Mo1 Mo 0.000 0.000 0.500
# * DFT formation energy: 423 meV/atom
# * DOS(E_F): 0.68 states/eV/atom
# * total magnetic moment: 2.14 μB per formula unit
# * distance to the lowest polymorph of the same formula: 0 meV/atom

# PBE-GGA BaTl2Mo, optimized geometry
data_BaTl2Mo
_chemical_formula_sum 'Ba1 Tl2 Mo1'
_symmetry_space_group_name_H-M 'P 1'
_symmetry_Int_Tables_number 1
_cell_length_a 10.817
_cell_length_b 10.817
_cell_length_c 10.817
_cell_angle_alpha 18.70
_cell_angle_beta 18.70
_cell_angle_gamma 18.70
loop_
_symmetry_equiv_pos_as_xyz
'x,y,z'
loop_
_atom_site_label
_atom_site_type_symbol
_atom_site_fract_x
_atom_site_fract_y
_atom_site_fract_z
Ba1 Ba 0.000 0.000 0.000
Tl1 Tl 0.231 0.231 0.231
Tl2 Tl 0.480 0.480 0.480
Mo1 Mo 0.746 0.746 0.746
# * DFT formation energy: 762 meV/atom
# * DOS(E_F): 0.88 states/eV/atom
# * total magnetic moment: 1.33 μB per formula unit
# * distance to the lowest polymorph of the same formula: 340 meV/atom

# PBE-GGA BaTl2Mo, optimized geometry
data_BaTl2Mo
_chemical_formula_sum 'Ba1 Tl2 Mo1'
_symmetry_space_group_name_H-M 'P 1'
_symmetry_Int_Tables_number 1
_cell_length_a 3.773
_cell_length_b 4.347
_cell_length_c 7.395
_cell_angle_alpha 90.00
_cell_angle_beta 90.00
_cell_angle_gamma 90.00
loop_
_symmetry_equiv_pos_as_xyz
'x,y,z'
loop_
_atom_site_label
_atom_site_type_symbol
_atom_site_fract_x
_atom_site_fract_y
_atom_site_fract_z
Ba1 Ba 0.000 0.000 0.000
Tl1 Tl 0.000 0.500 0.377
Tl2 Tl 0.500 0.500 0.718
Mo1 Mo 0.500 0.000 0.451
# * DFT formation energy: 502 meV/atom
# * DOS(E_F): 0.76 states/eV/atom
# * total magnetic moment: 1.88 μB per formula unit
# * distance to the lowest polymorph of the same formula: 79 meV/atom

# PBE-GGA BaTlMo2, optimized geometry
data_BaTlMo2
_chemical_formula_sum 'Ba1 Tl1 Mo2'
_symmetry_space_group_name_H-M 'P 1'
_symmetry_Int_Tables_number 1
_cell_length_a 5.504
_cell_length_b 5.504
_cell_length_c 6.273
_cell_angle_alpha 101.17
_cell_angle_beta 101.17
_cell_angle_gamma 37.01
loop_
_symmetry_equiv_pos_as_xyz
'x,y,z'
loop_
_atom_site_label
_atom_site_type_symbol
_atom_site_fract_x
_atom_site_fract_y
_atom_site_fract_z
Ba1 Ba 0.000 0.000 0.000
Tl1 Tl 0.500 0.500 0.500
Mo1 Mo 0.232 0.232 0.622
Mo2 Mo 0.768 0.768 0.378
# * DFT formation energy: 727 meV/atom
# * DOS(E_F): 1.02 states/eV/atom
# * total magnetic moment: 0.00 μB per formula unit
# * distance to the lowest polymorph of the same formula: 276 meV/atom

# PBE-GGA BaTl2Mo, optimized geometry
data_BaTl2Mo
_chemical_formula_sum 'Ba1 Tl2 Mo1'
_symmetry_space_group_name_H-M 'P 1'
_symmetry_Int_Tables_number 1
_cell_length_a 3.335
_cell_length_b 3.335
_cell_length_c 10.207
_cell_angle_alpha 90.00
_cell_angle_beta 90.00
_cell_angle_gamma 103.31
loop_
_symmetry_equiv_pos_as_xyz
'x,y,z'
loop_
_atom_site_label
_atom_site_type_symbol
_atom_site_fract_x
_atom_site_fract_y
_atom_site_fract_z
Ba1 Ba 0.000 0.000 0.000
Tl1 Tl 0.000 0.000 0.556
Tl2 Tl 0.500 0.500 0.309
Mo1 Mo 0.500 0.500 0.751
# * DFT formation energy: 698 meV/atom
# * DOS(E_F): 0.77 states/eV/atom
# * total magnetic moment: 0.00 μB per formula unit
# * distance to the lowest polymorph of the same formula: 275 meV/atom

# PBE-GGA BaTlMo2, optimized geometry
data_BaTlMo2
_chemical_formula_sum 'Ba1 Tl1 Mo2'
_symmetry_space_group_name_H-M 'P 1'
_symmetry_Int_Tables_number 1
_cell_length_a 3.439
_cell_length_b 4.947
_cell_length_c 5.308
_cell_angle_alpha 90.00
_cell_angle_beta 90.00
_cell_angle_gamma 90.00
loop_
_symmetry_equiv_pos_as_xyz
'x,y,z'
loop_
_atom_site_label
_atom_site_type_symbol
_atom_site_fract_x
_atom_site_fract_y
_atom_site_fract_z
Ba1 Ba 0.000 0.000 0.000
Tl1 Tl 0.500 0.000 0.500
Mo1 Mo 0.000 0.500 0.500
Mo2 Mo 0.500 0.500 0.000
# * DFT formation energy: 1312 meV/atom
# * DOS(E_F): 1.15 states/eV/atom
# * total magnetic moment: 0.11 μB per formula unit
# * distance to the lowest polymorph of the same formula: 861 meV/atom

# PBE-GGA BaTlMo2, optimized geometry
data_BaTlMo2
_chemical_formula_sum 'Ba1 Tl1 Mo2'
_symmetry_space_group_name_H-M 'P 1'
_symmetry_Int_Tables_number 1
_cell_length_a 11.012
_cell_length_b 11.012
_cell_length_c 11.012
_cell_angle_alpha 16.18
_cell_angle_beta 16.18
_cell_angle_gamma 16.18
loop_
_symmetry_equiv_pos_as_xyz
'x,y,z'
loop_
_atom_site_label
_atom_site_type_symbol
_atom_site_fract_x
_atom_site_fract_y
_atom_site_fract_z
Ba1 Ba 0.000 0.000 0.000
Tl1 Tl 0.500 0.500 0.500
Mo1 Mo 0.239 0.239 0.239
Mo2 Mo 0.761 0.761 0.761
# * DFT formation energy: 1298 meV/atom
# * DOS(E_F): 1.34 states/eV/atom
# * total magnetic moment: 0.00 μB per formula unit
# * distance to the lowest polymorph of the same formula: 846 meV/atom

# PBE-GGA BaTlMo2, optimized geometry
data_BaTlMo2
_chemical_formula_sum 'Ba1 Tl1 Mo2'
_symmetry_space_group_name_H-M 'P 1'
_symmetry_Int_Tables_number 1
_cell_length_a 5.578
_cell_length_b 5.578
_cell_length_c 5.578
_cell_angle_alpha 132.84
_cell_angle_beta 132.84
_cell_angle_gamma 68.91
loop_
_symmetry_equiv_pos_as_xyz
'x,y,z'
loop_
_atom_site_label
_atom_site_type_symbol
_atom_site_fract_x
_atom_site_fract_y
_atom_site_fract_z
Ba1 Ba 0.000 0.000 0.000
Tl1 Tl 0.500 0.500 0.000
Mo1 Mo 0.250 0.750 0.500
Mo2 Mo 0.750 0.250 0.500
# * DFT formation energy: 1410 meV/atom
# * DOS(E_F): 1.38 states/eV/atom
# * total magnetic moment: 0.01 μB per formula unit
# * distance to the lowest polymorph of the same formula: 958 meV/atom

Question: What is the formula in the third record?
Answer: BaTl2Mo